# 1
Here is CuHg2Pb after structural relaxation from the Alexandria database. Energies are from GGA-PBE.

Cell lengths 6.040, 6.040, 5.603 Å; angles 60.35, 60.35, 32.52 degrees
Atoms (fractional coordinates):
Pb: 0.750 0.750 0.750
Hg: 0.537 0.537 0.464
Hg: 0.963 0.963 0.036
Cu: 0.250 0.250 0.250

Calculated values
- total moment (μB per formula unit) = 0.00
- DFT total energy (eV/atom) = -1.93
- SG = C2/m (12)
- ΔE_f (eV/atom) = 0.18

# 2
Here is CuHg2Pb after structural relaxation from the Alexandria database. Energies are from GGA-PBE.

Cell lengths 3.323, 3.433, 8.243 Å; angles 90.00, 90.00, 90.00 degrees
Atoms (fractional coordinates):
Pb: 0.000 0.000 0.547
Hg: 0.000 0.000 0.955
Hg: 0.500 0.500 0.229
Cu: 0.500 0.500 0.769

Calculated values
- total moment (μB per formula unit) = 0.00
- DFT total energy (eV/atom) = -1.95
- SG = Pmm2 (25)
- ΔE_f (eV/atom) = 0.16

# 3
Here is CuHg3Pb after structural relaxation from the Alexandria database. Energies are from GGA-PBE.

Cell lengths 5.829, 5.829, 5.829 Å; angles 90.00, 90.00, 90.00 degrees
Atoms (fractional coordinates):
Hg: 0.000 0.000 0.500
Hg: 0.500 0.000 0.000
Hg: 0.000 0.500 0.000
Pb: 0.000 0.000 0.000
Cu: 0.500 0.500 0.500

Calculated values
- total moment (μB per formula unit) = 0.00
- DFT total energy (eV/atom) = -1.05
- SG = Pm-3m (221)
- excess energy over the best structure of this formula in the dataset (meV/atom) = 494
- ΔE_f (eV/atom) = 0.69

# 4
Here is CuHg2Pb after structural relaxation from the Alexandria database. Energies are from GGA-PBE.

Cell lengths 5.756, 5.756, 5.756 Å; angles 135.26, 135.26, 65.13 degrees
Atoms (fractional coordinates):
Cu: 0.750 0.250 0.500
Hg: 0.500 0.500 0.000
Hg: 0.000 0.000 0.000
Pb: 0.250 0.750 0.500

Calculated values
- total moment (μB per formula unit) = 0.00
- DFT total energy (eV/atom) = -1.86
- SG = I4/mmm (139)
- ΔE_f (eV/atom) = 0.24

# 5
Here is Cu2HgPb after structural relaxation from the Alexandria database. Energies are from GGA-PBE.

Cell lengths 6.391, 6.391, 6.391 Å; angles 150.87, 140.42, 49.89 degrees
Atoms (fractional coordinates):
Cu: 0.986 0.986 0.000
Cu: 0.818 0.318 0.500
Pb: 0.212 0.712 0.500
Hg: 0.484 0.484 0.000

Calculated values
- total moment (μB per formula unit) = 0.00
- DFT total energy (eV/atom) = -2.83
- SG = Imm2 (44)
- ΔE_f (eV/atom) = 0.22

# 6
Here is CuHgPdPb after structural relaxation from the Alexandria database. Energies are from GGA-PBE.

Cell lengths 4.790, 4.790, 4.790 Å; angles 60.00, 60.00, 60.00 degrees
Atoms (fractional coordinates):
Cu: 0.250 0.250 0.250
Hg: 0.000 0.000 0.000
Pb: 0.500 0.500 0.500
Pd: 0.750 0.750 0.750

Calculated values
- total moment (μB per formula unit) = 0.00
- DFT total energy (eV/atom) = -3.26
- SG = F-43m (216)
- ΔE_f (eV/atom) = 0.06

# 7
Here is PmCuHgPb after structural relaxation from the Alexandria database. Energies are from GGA-PBE.

Cell lengths 5.145, 5.145, 5.145 Å; angles 60.00, 60.00, 60.00 degrees
Atoms (fractional coordinates):
Hg: 0.000 0.000 0.000
Pb: 0.750 0.750 0.750
Pm: 0.250 0.250 0.250
Cu: 0.500 0.500 0.500

Calculated values
- total moment (μB per formula unit) = 0.00
- DFT total energy (eV/atom) = -3.41
- SG = F-43m (216)
- ΔE_f (eV/atom) = -0.19

# 8
Here is PrCuHgPb after structural relaxation from the Alexandria database. Energies are from GGA-PBE.

Cell lengths 5.188, 5.188, 5.188 Å; angles 60.00, 60.00, 60.00 degrees
Atoms (fractional coordinates):
Pb: 0.250 0.250 0.250
Cu: 0.500 0.500 0.500
Hg: 0.000 0.000 0.000
Pr: 0.750 0.750 0.750

Calculated values
- total moment (μB per formula unit) = 0.00
- DFT total energy (eV/atom) = -3.43
- SG = F-43m (216)
- ΔE_f (eV/atom) = -0.20

# 9
Here is CuHg2PtPb after structural relaxation from the Alexandria database. Energies are from GGA-PBE.

Cell lengths 5.630, 4.906, 5.630 Å; angles 90.00, 90.00, 90.00 degrees
Last column: magnetic moment on the atom in μB.
Atoms (fractional coordinates):
Cu: 0.000 0.500 0.000  0.03
Pt: 0.500 0.500 0.500  0.38
Pb: 0.000 0.000 0.000  0.03
Hg: 0.000 0.000 0.500  0.01
Hg: 0.500 0.000 0.000  0.01

Calculated values
- total moment (μB per formula unit) = 0.60
- DFT total energy (eV/atom) = -1.79
- SG = P4/mmm (123)
- ΔE_f (eV/atom) = 1.10

# 10
Here is PuCuHgPb after structural relaxation from the Alexandria database. Energies are from GGA-PBE.

Cell lengths 5.113, 5.113, 5.113 Å; angles 60.00, 60.00, 60.00 degrees
Last column: magnetic moment on the atom in μB.
Atoms (fractional coordinates):
Cu: 0.250 0.250 0.250  -0.01
Pu: 0.500 0.500 0.500  5.40
Pb: 0.000 0.000 0.000  -0.02
Hg: 0.750 0.750 0.750  0.01

Calculated values
- total moment (μB per formula unit) = 5.58
- DFT total energy (eV/atom) = -5.56
- SG = F-43m (216)
- ΔE_f (eV/atom) = 0.05

# 11
Here is RbCuHg2Pb after structural relaxation from the Alexandria database. Energies are from GGA-PBE.

Cell lengths 5.371, 5.371, 5.269 Å; angles 90.00, 90.00, 90.00 degrees
Atoms (fractional coordinates):
Hg: 0.000 0.500 0.000
Hg: 0.500 0.000 0.000
Rb: 0.500 0.500 0.500
Cu: 0.000 0.000 0.000
Pb: 0.000 0.000 0.500

Calculated values
- total moment (μB per formula unit) = 0.00
- DFT total energy (eV/atom) = -1.86
- SG = P4/mmm (123)
- ΔE_f (eV/atom) = 0.02

# 12
Here is SmCuHgPb after structural relaxation from the Alexandria database. Energies are from GGA-PBE.

Cell lengths 5.132, 5.132, 5.132 Å; angles 60.00, 60.00, 60.00 degrees
Atoms (fractional coordinates):
Cu: 0.250 0.250 0.250
Sm: 0.000 0.000 0.000
Pb: 0.500 0.500 0.500
Hg: 0.750 0.750 0.750

Calculated values
- total moment (μB per formula unit) = 0.00
- DFT total energy (eV/atom) = -3.39
- SG = F-43m (216)
- ΔE_f (eV/atom) = -0.18

- Which value of ΔE_f does entry 3 give?
  0.69 eV/atom

- Among the records above, which one has the highest ΔE_f?
  CuHg2PtPb

- The lowest DFT total energy belongs to which entry?
  PuCuHgPb